(1)
Here is an optimized crystal structure of LaMn4In from Alexandria via LeMat-Bulk. Energies are from PBE. Values from VASP.

Computed properties:
Energy relative to the elements (eV/f.u.): 1.50
Space group: F-43m (216)

Geometry as Quantum ESPRESSO input:
```
&SYSTEM
  ibrav = 0, nat = 6, ntyp = 3
/
ATOMIC_SPECIES
La 138.91 La.upf
Mn 54.94 Mn.upf
In 114.82 In.upf
CELL_PARAMETERS angstrom
0.000 3.720 3.720
3.720 0.000 3.720
3.720 3.720 0.000
ATOMIC_POSITIONS crystal
La 0.000 0.000 0.000
Mn 0.129 0.624 0.624
Mn 0.624 0.129 0.624
Mn 0.624 0.624 0.129
Mn 0.624 0.624 0.624
In 0.250 0.250 0.250
```

(2)
Here is an optimized crystal structure of LaMn2In from Alexandria via LeMat-Bulk. Energies are from PBE. Values from VASP.

Computed properties:
Energy relative to the elements (eV/f.u.): 0.82
Space group: Amm2 (38)

Geometry as Quantum ESPRESSO input:
```
&SYSTEM
  ibrav = 0, nat = 4, ntyp = 3
/
ATOMIC_SPECIES
La 138.91 La.upf
Mn 54.94 Mn.upf
In 114.82 In.upf
CELL_PARAMETERS angstrom
4.043 0.000 0.000
0.000 2.034 5.139
0.000 -2.034 5.139
ATOMIC_POSITIONS crystal
La 0.000 0.000 0.000
Mn 0.000 0.275 0.275
Mn 0.500 0.422 0.422
In 0.500 0.714 0.714
```

(3)
Here is an optimized crystal structure of LaMn2In from Alexandria via LeMat-Bulk. Energies are from PBE. Values from VASP.

Computed properties:
Energy relative to the elements (eV/f.u.): 2.15
Space group: I-42d (122)

Geometry as Quantum ESPRESSO input:
```
&SYSTEM
  ibrav = 0, nat = 8, ntyp = 3
/
ATOMIC_SPECIES
La 138.91 La.upf
Mn 54.94 Mn.upf
In 114.82 In.upf
CELL_PARAMETERS angstrom
-3.940 3.940 3.149
3.940 -3.940 3.149
3.940 3.940 -3.149
ATOMIC_POSITIONS crystal
La 0.000 0.000 0.000
La 0.750 0.250 0.500
Mn 0.155 0.625 0.030
Mn 0.375 0.405 0.530
Mn 0.595 0.125 0.970
Mn 0.875 0.845 0.470
In 0.250 0.750 0.500
In 0.500 0.500 0.000
```

(4)
Here is an optimized crystal structure of La2Mn2In from Alexandria via LeMat-Bulk. Energies are from PBE. Values from VASP.

Computed properties:
Energy relative to the elements (eV/f.u.): 0.86
Space group: I4/mmm (139)

Geometry as Quantum ESPRESSO input:
```
&SYSTEM
  ibrav = 0, nat = 5, ntyp = 3
/
ATOMIC_SPECIES
La 138.91 La.upf
Mn 54.94 Mn.upf
In 114.82 In.upf
CELL_PARAMETERS angstrom
-1.663 1.663 10.268
1.663 -1.663 10.268
1.663 1.663 -10.268
ATOMIC_POSITIONS crystal
La 0.125 0.125 0.000
La 0.875 0.875 0.000
Mn 0.250 0.750 0.500
Mn 0.750 0.250 0.500
In 0.500 0.500 0.000
```

(5)
Here is an optimized crystal structure of La2MnIn2 from Alexandria via LeMat-Bulk. Energies are from PBE. Values from VASP.

Computed properties:
Energy relative to the elements (eV/f.u.): 1.90
Distance to the lowest polymorph of the same formula (meV per atom): 235.7
Space group: I4/mmm (139)

Geometry as Quantum ESPRESSO input:
```
&SYSTEM
  ibrav = 0, nat = 5, ntyp = 3
/
ATOMIC_SPECIES
La 138.91 La.upf
Mn 54.94 Mn.upf
In 114.82 In.upf
CELL_PARAMETERS angstrom
-1.959 1.959 9.330
1.959 -1.959 9.330
1.959 1.959 -9.330
ATOMIC_POSITIONS crystal
La 0.086 0.086 0.000
La 0.914 0.914 0.000
Mn 0.500 0.500 0.000
In 0.250 0.750 0.500
In 0.750 0.250 0.500
```

(6)
Here is an optimized crystal structure of La2MnIn2 from Alexandria via LeMat-Bulk. Energies are from PBE. Values from VASP.

Computed properties:
Energy relative to the elements (eV/f.u.): 1.58
Distance to the lowest polymorph of the same formula (meV per atom): 172.9
Space group: P4/mbm (127)

Geometry as Quantum ESPRESSO input:
```
&SYSTEM
  ibrav = 0, nat = 10, ntyp = 3
/
ATOMIC_SPECIES
La 138.91 La.upf
Mn 54.94 Mn.upf
In 114.82 In.upf
CELL_PARAMETERS angstrom
7.014 0.000 0.000
0.000 7.014 0.000
0.000 0.000 5.701
ATOMIC_POSITIONS crystal
La 0.173 0.327 0.000
La 0.327 0.827 0.000
La 0.673 0.173 0.000
La 0.827 0.673 0.000
Mn 0.000 0.000 0.000
Mn 0.500 0.500 0.000
In 0.156 0.656 0.500
In 0.344 0.156 0.500
In 0.656 0.844 0.500
In 0.844 0.344 0.500
```

(7)
Here is an optimized crystal structure of LaMn2In from Alexandria via LeMat-Bulk. Energies are from PBE. Values from VASP.

Computed properties:
Energy relative to the elements (eV/f.u.): 1.17
Space group: C2/m (12)

Geometry as Quantum ESPRESSO input:
```
&SYSTEM
  ibrav = 0, nat = 4, ntyp = 3
/
ATOMIC_SPECIES
La 138.91 La.upf
Mn 54.94 Mn.upf
In 114.82 In.upf
CELL_PARAMETERS angstrom
4.638 -1.640 0.000
4.638 1.640 0.000
-1.299 0.000 5.899
ATOMIC_POSITIONS crystal
La 0.000 0.000 0.000
Mn 0.242 0.242 0.682
Mn 0.758 0.758 0.318
In 0.500 0.500 0.500
```

(8)
Here is an optimized crystal structure of La3MnIn from Alexandria via LeMat-Bulk. Energies are from PBE. Values from VASP.

Computed properties:
Energy relative to the elements (eV/f.u.): -0.52
Distance to the lowest polymorph of the same formula (meV per atom): 0.0
Space group: Pm-3m (221)

Geometry as Quantum ESPRESSO input:
```
&SYSTEM
  ibrav = 0, nat = 5, ntyp = 3
/
ATOMIC_SPECIES
La 138.91 La.upf
Mn 54.94 Mn.upf
In 114.82 In.upf
CELL_PARAMETERS angstrom
5.265 0.000 0.000
0.000 5.265 0.000
0.000 0.000 5.265
ATOMIC_POSITIONS crystal
La 0.000 0.000 0.500
La 0.000 0.500 0.000
La 0.500 0.000 0.000
Mn 0.000 0.000 0.000
In 0.500 0.500 0.500
```

(9)
Here is an optimized crystal structure of LaMn2In from Alexandria via LeMat-Bulk. Energies are from PBE. Values from VASP.

Computed properties:
Energy relative to the elements (eV/f.u.): 0.30
Space group: P4mm (99)

Geometry as Quantum ESPRESSO input:
```
&SYSTEM
  ibrav = 0, nat = 4, ntyp = 3
/
ATOMIC_SPECIES
La 138.91 La.upf
Mn 54.94 Mn.upf
In 114.82 In.upf
CELL_PARAMETERS angstrom
3.253 0.000 0.000
0.000 3.253 0.000
0.000 0.000 7.844
ATOMIC_POSITIONS crystal
La 0.000 0.000 0.000
Mn 0.000 0.000 0.433
Mn 0.500 0.500 0.293
In 0.500 0.500 0.668
```

(10)
Here is an optimized crystal structure of LaMn2In from Alexandria via LeMat-Bulk. Energies are from PBE. Values from VASP.

Computed properties:
Energy relative to the elements (eV/f.u.): 1.07
Space group: P4/mmm (123)

Geometry as Quantum ESPRESSO input:
```
&SYSTEM
  ibrav = 0, nat = 4, ntyp = 3
/
ATOMIC_SPECIES
La 138.91 La.upf
Mn 54.94 Mn.upf
In 114.82 In.upf
CELL_PARAMETERS angstrom
4.929 0.000 0.000
0.000 4.929 0.000
0.000 0.000 3.400
ATOMIC_POSITIONS crystal
La 0.000 0.000 0.000
Mn 0.000 0.500 0.500
Mn 0.500 0.000 0.500
In 0.500 0.500 0.000
```

(11)
Here is an optimized crystal structure of LaMn2In from Alexandria via LeMat-Bulk. Energies are from PBE. Values from VASP.

Computed properties:
Energy relative to the elements (eV/f.u.): 0.81
Space group: Imm2 (44)

Geometry as Quantum ESPRESSO input:
```
&SYSTEM
  ibrav = 0, nat = 4, ntyp = 3
/
ATOMIC_SPECIES
La 138.91 La.upf
Mn 54.94 Mn.upf
In 114.82 In.upf
CELL_PARAMETERS angstrom
-1.614 2.461 5.389
1.614 -2.461 5.389
1.614 2.461 -5.389
ATOMIC_POSITIONS crystal
La 0.000 0.000 0.000
Mn 0.293 0.793 0.500
Mn 0.482 0.482 0.000
In 0.716 0.216 0.500
```

(12)
Here is an optimized crystal structure of LaMn2In from Alexandria via LeMat-Bulk. Energies are from PBE. Values from VASP.

Computed properties:
Energy relative to the elements (eV/f.u.): 1.07
Space group: I-4m2 (119)

Geometry as Quantum ESPRESSO input:
```
&SYSTEM
  ibrav = 0, nat = 4, ntyp = 3
/
ATOMIC_SPECIES
La 138.91 La.upf
Mn 54.94 Mn.upf
In 114.82 In.upf
CELL_PARAMETERS angstrom
-2.230 2.230 4.447
2.230 -2.230 4.447
2.230 2.230 -4.447
ATOMIC_POSITIONS crystal
La 0.000 0.000 0.000
Mn 0.250 0.750 0.500
Mn 0.500 0.500 0.000
In 0.750 0.250 0.500
```

(13)
Here is an optimized crystal structure of LaMn2In from Alexandria via LeMat-Bulk. Energies are from PBE. Values from VASP.

Computed properties:
Energy relative to the elements (eV/f.u.): 2.02
Space group: R-3m (166)

Geometry as Quantum ESPRESSO input:
```
&SYSTEM
  ibrav = 0, nat = 4, ntyp = 3
/
ATOMIC_SPECIES
La 138.91 La.upf
Mn 54.94 Mn.upf
In 114.82 In.upf
CELL_PARAMETERS angstrom
1.653 0.954 9.549
-1.653 0.954 9.549
0.000 -1.908 9.549
ATOMIC_POSITIONS crystal
La 0.000 0.000 0.000
Mn 0.244 0.244 0.244
Mn 0.756 0.756 0.756
In 0.500 0.500 0.500
```

(14)
Here is an optimized crystal structure of LaMn2In from Alexandria via LeMat-Bulk. Energies are from PBE. Values from VASP.

Computed properties:
Energy relative to the elements (eV/f.u.): 0.99
Space group: P4/mmm (123)

Geometry as Quantum ESPRESSO input:
```
&SYSTEM
  ibrav = 0, nat = 4, ntyp = 3
/
ATOMIC_SPECIES
La 138.91 La.upf
Mn 54.94 Mn.upf
In 114.82 In.upf
CELL_PARAMETERS angstrom
3.390 0.000 0.000
0.000 3.390 0.000
0.000 0.000 7.455
ATOMIC_POSITIONS crystal
La 0.000 0.000 0.000
Mn 0.500 0.500 0.289
Mn 0.500 0.500 0.711
In 0.000 0.000 0.500
```

(15)
Here is an optimized crystal structure of LaMn2In from Alexandria via LeMat-Bulk. Energies are from PBE. Values from VASP.

Computed properties:
Energy relative to the elements (eV/f.u.): 1.34
Space group: P2/m (10)

Geometry as Quantum ESPRESSO input:
```
&SYSTEM
  ibrav = 0, nat = 4, ntyp = 3
/
ATOMIC_SPECIES
La 138.91 La.upf
Mn 54.94 Mn.upf
In 114.82 In.upf
CELL_PARAMETERS angstrom
3.225 0.000 0.000
0.000 4.559 0.000
-1.315 0.000 6.216
ATOMIC_POSITIONS crystal
La 0.000 0.000 0.000
Mn 0.319 0.500 0.708
Mn 0.681 0.500 0.292
In 0.500 0.000 0.500
```

no.,spin magnetization (μB/atom)
1,1.72
2,1.39
3,1.75
4,0.00
5,0.00
6,0.00
7,1.67
8,0.00
9,0.13
10,1.55
11,0.25
12,1.69
13,1.88
14,1.74
15,1.82